Version one
Material: TiSbTe2As
Method: DFT, PBE-GGA
State: optimized geometry

Results
- D(E_F): 4.713 states/eV per cell
- SG: No. 123

Cell lengths 5.223, 5.223, 5.391 Å; angles 90.00, 90.00, 90.00 degrees
Element x y z (fractional)
1 Ti 0.000 0.000 0.000
2 Sb 0.000 0.000 0.500
3 Te 0.000 0.500 0.000
4 Te 0.500 0.000 0.000
5 As 0.500 0.500 0.500

Version two
Material: TiSbTe2As
Method: DFT, PBE-GGA
State: optimized geometry

Results
- D(E_F): 7.279 states/eV per cell
- SG: No. 123

Cell lengths 5.397, 5.397, 5.171 Å; angles 90.00, 90.00, 90.00 degrees
Element x y z (fractional)
1 Ti 0.000 0.000 0.000
2 Sb 0.500 0.500 0.000
3 Te 0.000 0.500 0.500
4 Te 0.500 0.000 0.500
5 As 0.500 0.500 0.500

Name the most stable of them. version one.